A plane-wave DFT calculation with PBE-GGA was carried out for an optimized crystal structure of LiTmCdIr.

a b c (Å): 4.7280 4.7280 4.7280
angles (deg): 60.00 60.00 60.00
With the nearest neighbours (Å) after each atom.
Sites, in units of the cell vectors:
Ir 0.5000 0.5000 0.5000  4 Tm 2.90, 4 Cd 2.90
Cd 0.7500 0.7500 0.7500  4 Ir 2.90, 4 Li 2.90
Li 0.0000 0.0000 0.0000  4 Cd 2.90, 4 Tm 2.90
Tm 0.2500 0.2500 0.2500  4 Li 2.90, 4 Ir 2.90

## Properties
DOS(E_F), states/eV per cell: 1.47
ΔE_f, eV/atom: -0.431
Symmetry: F-43m
Crystal system: cubic
Uncorrected energy, eV/atom: -4.471